DFT (GGA+U) results for a geometry-optimized MnAsPb2O6 structure.

The calculation puts the total DFT energy (no corrections) at -6.11 eV per atom. Its magnetic moment is 4.000 μB/f.u. The crystal system is trigonal.

The structure belongs to space group R-3m (No. 166, hexagonal axes); the cell edges are 5.6153, 5.6153 and 28.5521 Å and the angles 90.00°, 90.00° and 120.00°. The inequivalent atoms are Mn at (0.0000, 0.0000, 0.0916), As at (0.0000, 0.0000, 0.0000), As at (0.0000, 0.0000, 0.5000), Pb at (0.0000, 0.0000, 0.2072), Pb at (0.0000, 0.0000, 0.3698), O at (0.0149, 0.5075, 0.2039) and O at (0.0289, 0.5145, 0.6267).